No. 1
VASP calculation (PBE) on a geometry-optimized Cs3DyPa2O9 structure.

Results
calculated density: 7.2 Mg/m³
calculated volume: 18.01 A^3/atom
E_tot: -7.41 eV per atom

a = 6.346 Å, b = 6.346 Å, c = 7.745 Å
α = 90.00°, β = 90.00°, γ = 120.00°
Each line ends with the local moment (μB).
Sites, in units of the cell vectors:
1 Cs 0.667 0.333 0.336  0.01
2 Cs 0.000 0.000 0.000  0.01
3 Cs 0.333 0.667 0.664  0.01
4 O 0.346 0.173 0.673  0.21
5 O 0.827 0.173 0.673  0.21
6 O 0.500 0.500 0.000  0.16
7 O 0.827 0.654 0.673  0.21
8 O 0.173 0.346 0.327  0.21
9 O 0.173 0.827 0.327  0.21
10 O 0.000 0.500 0.000  0.16
11 O 0.500 0.000 0.000  0.16
12 O 0.654 0.827 0.327  0.21
13 Pa 0.667 0.333 0.831  0.01
14 Pa 0.333 0.667 0.169  0.01
15 Dy 0.000 0.000 0.500  0.00

No. 2
VASP calculation (PBE) on a geometry-optimized RbPtO3 structure.

Results
calculated density: 6.0 Mg/m³
calculated volume: 18.27 A^3/atom
E_tot: -5.21 eV per atom

a = 5.536 Å, b = 6.173 Å, c = 6.173 Å
α = 120.02°, β = 89.99°, γ = 90.01°
Sites, in units of the cell vectors:
1 O 0.750 0.137 0.863
2 O 0.250 0.274 0.137
3 O 0.250 0.863 0.137
4 O 0.750 0.137 0.274
5 O 0.750 0.726 0.863
6 O 0.250 0.863 0.726
7 Rb 0.250 0.333 0.667
8 Rb 0.750 0.667 0.333
9 Pt 0.500 0.000 0.000
10 Pt 0.000 0.000 0.000

| no. | formation energy without anion corrections (eV per atom) |
| --- | --- |
| 1 | -2.688 |
| 2 | -0.834 |